No. 1
The following is a PBE-GGA calculation of a relaxed structure of YTa2Rh, from Alexandria via LeMat-Bulk.

a b c (Å): 9.728 9.728 9.728
angles (deg): 18.22 18.22 18.22
Positions (direct):
Y: 0.000 0.000 0.000
Ta: 0.240 0.240 0.240
Ta: 0.760 0.760 0.760
Rh: 0.500 0.500 0.500

Values from the calculation:
Crystal system: trigonal
Polymorph energy (0 for the lowest one) in eV per atom: 0.356
Total DFT energy (no corrections) in eV/atom: -9.177
Energy of formation in eV/atom: 0.20

***

No. 2
The following is a PBE-GGA calculation of a relaxed structure of Y2TaRh, from Alexandria via LeMat-Bulk.

a b c (Å): 6.094 6.094 6.094
angles (deg): 147.34 130.65 60.44
Positions (direct):
Y: 0.000 0.000 0.000
Y: 0.712 0.212 0.500
Ta: 0.423 0.423 0.000
Rh: 0.242 0.742 0.500

Values from the calculation:
Crystal system: orthorhombic
Polymorph energy (0 for the lowest one) in eV per atom: 0.029
Total DFT energy (no corrections) in eV/atom: -8.202
Energy of formation in eV/atom: -0.17

***

No. 3
The following is a PBE-GGA calculation of a relaxed structure of Y2TaRh, from Alexandria via LeMat-Bulk.

a b c (Å): 5.989 5.989 5.989
angles (deg): 139.96 139.96 57.91
Positions (direct):
Y: 0.000 0.000 0.000
Y: 0.750 0.250 0.500
Ta: 0.500 0.500 0.000
Rh: 0.250 0.750 0.500

Values from the calculation:
Crystal system: tetragonal
Polymorph energy (0 for the lowest one) in eV per atom: 0.325
Total DFT energy (no corrections) in eV/atom: -7.905
Energy of formation in eV/atom: 0.13

***

No. 4
The following is a PBE-GGA calculation of a relaxed structure of YTa2Rh, from Alexandria via LeMat-Bulk.

a b c (Å): 5.794 5.794 5.794
angles (deg): 146.48 133.56 58.48
Positions (direct):
Y: 0.000 0.000 0.000
Ta: 0.264 0.764 0.500
Ta: 0.736 0.236 0.500
Rh: 0.500 0.500 0.000

Values from the calculation:
Crystal system: orthorhombic
Polymorph energy (0 for the lowest one) in eV per atom: 0.008
Total DFT energy (no corrections) in eV/atom: -9.525
Energy of formation in eV/atom: -0.15

***

> energy of formation of number 4 (YTa2Rh)?

-0.15 eV/atom

***

> Which of these has the highest energy of formation?

number 1

***

> Which of these has the highest polymorph energy (0 for the lowest one)?

number 1

***

What did the fourth record say?
The following is a PBE-GGA calculation of a relaxed structure of YTa2Rh, from Alexandria via LeMat-Bulk.

a b c (Å): 5.794 5.794 5.794
angles (deg): 146.48 133.56 58.48
Positions (direct):
Y: 0.000 0.000 0.000
Ta: 0.264 0.764 0.500
Ta: 0.736 0.236 0.500
Rh: 0.500 0.500 0.000

Values from the calculation:
Crystal system: orthorhombic
Polymorph energy (0 for the lowest one) in eV per atom: 0.008
Total DFT energy (no corrections) in eV/atom: -9.525
Energy of formation in eV/atom: -0.15